Entry 1:
The following is a PBE calculation of FeNi6Ir after structural relaxation, from Alexandria.

Calculated values
E_tot: -6.507 eV/atom
formation energy: -0.01 eV/atom

abc: 5.090 5.090 3.587
angles: 90.00 90.00 90.00
Space group P4/mmm (No. 123)
Asymmetric unit:
Fe 0.000 0.000 0.000 x1
Ni 0.000 0.500 0.000 x2
Ni 0.246 0.246 0.500 x4
Ir 0.500 0.500 0.000 x1



Entry 2:
The following is a PBE calculation of Fe3Ni7Ir2 after structural relaxation, from Alexandria.

Calculated values
E_tot: -6.818 eV/atom
formation energy: 0.15 eV/atom

abc: 4.104 2.570 14.003
angles: 90.00 93.43 90.00
Space group P2/m (No. 10)
Asymmetric unit:
Fe 0.000 0.000 0.000 x1
Fe 0.277 0.500 0.628 x2
Ni 0.186 0.500 0.139 x2
Ni 0.243 0.000 0.464 x2
Ni 0.310 0.000 0.835 x2
Ni 0.500 0.500 0.000 x1
Ir 0.206 0.000 0.291 x2



Entry 3:
The following is a PBE calculation of Fe6NiIr after structural relaxation, from Alexandria.

Calculated values
E_tot: -8.176 eV/atom
formation energy: 0.00 eV/atom

abc: 5.840 11.613 11.582
angles: 90.00 90.00 90.00
Space group Cmmm (No. 65)
Asymmetric unit:
Fe 0.000 0.000 0.000 x2
Fe 0.000 0.000 0.500 x2
Fe 0.000 0.249 0.246 x8
Fe 0.000 0.500 0.000 x2
Fe 0.000 0.500 0.500 x2
Fe 0.245 0.373 0.121 x16
Fe 0.245 0.377 0.371 x16
Ni 0.000 0.248 0.000 x4
Ni 0.000 0.500 0.245 x4
Ir 0.000 0.000 0.245 x4
Ir 0.000 0.249 0.500 x4



Entry 4:
The following is a PBE calculation of Fe2Ni6Ir3 after structural relaxation, from Alexandria.

Calculated values
E_tot: -6.921 eV/atom
formation energy: 0.19 eV/atom

abc: 7.892 4.567 16.166
angles: 90.00 90.00 90.00
Space group C2/c (No. 15)
Asymmetric unit:
Fe 0.167 0.000 0.000 x8
Ni 0.001 0.172 0.117 x8
Ni 0.164 0.331 0.883 x8
Ni 0.167 0.333 0.618 x8
Ir 0.000 0.497 0.750 x4
Ir 0.167 0.003 0.250 x8



Entry 5:
The following is a PBE calculation of Fe8Ni2Ir after structural relaxation, from Alexandria.

Calculated values
E_tot: -7.569 eV/atom
formation energy: 0.44 eV/atom

abc: 9.186 8.220 4.189
angles: 90.00 103.60 90.00
Space group C2/m (No. 12)
Asymmetric unit:
Fe 0.077 0.000 0.294 x4
Fe 0.097 0.243 0.798 x8
Fe 0.225 0.000 0.878 x4
Ni 0.145 0.500 0.556 x4
Ir 0.000 0.500 0.000 x2



Entry 6:
The following is a PBE calculation of Fe3Ni4Ir after structural relaxation, from Alexandria.

Calculated values
E_tot: -7.226 eV/atom
formation energy: -0.05 eV/atom

abc: 8.153 3.589 7.178
angles: 90.00 116.15 90.00
Space group C2/m (No. 12)
Asymmetric unit:
Fe 0.000 0.000 0.000 x2
Fe 0.003 0.500 0.756 x4
Ni 0.246 0.000 0.371 x4
Ni 0.247 0.500 0.122 x4
Ir 0.000 0.000 0.500 x2